{
  "formula": "Zr4C3",
  "functional": "SCAN",
  "state": "PBEsol geometry",
  "dft_energy_ev_per_atom": -22.320,
  "spacegroup": "I4/mmm",
  "crystal_system": "tetragonal",
  "lattice": [[3.247, 0.000, 0.000], [0.000, 3.247, 0.000], [0.000, 0.000, 18.723]],
  "species": ["Zr", "Zr", "Zr", "Zr", "Zr", "Zr", "Zr", "Zr", "C", "C", "C", "C", "C", "C"],
  "fractional_positions": [[0.000, 0.000, 0.068], [0.000, 0.000, 0.308], [0.000, 0.000, 0.692], [0.000, 0.000, 0.932], [0.500, 0.500, 0.192], [0.500, 0.500, 0.432], [0.500, 0.500, 0.568], [0.500, 0.500, 0.808], [0.000, 0.000, 0.186], [0.000, 0.000, 0.500], [0.000, 0.000, 0.814], [0.500, 0.500, 0.000], [0.500, 0.500, 0.314], [0.500, 0.500, 0.686]]
}



{
  "formula": "ZrC2",
  "functional": "SCAN",
  "state": "PBEsol geometry",
  "dft_energy_ev_per_atom": -16.812,
  "spacegroup": "Cm",
  "crystal_system": "monoclinic",
  "lattice": [[12.007, 0.000, 0.000], [0.000, 2.865, 0.000], [-0.756, 0.000, 3.947]],
  "species": ["Zr", "Zr", "Zr", "Zr", "C", "C", "C", "C", "C", "C", "C", "C"],
  "fractional_positions": [[0.000, 0.000, 0.000], [0.247, 0.000, 0.599], [0.500, 0.500, 0.000], [0.747, 0.500, 0.599], [0.142, 0.500, 0.242], [0.162, 0.500, 0.928], [0.384, 0.000, 0.239], [0.392, 0.500, 0.432], [0.642, 0.000, 0.242], [0.662, 0.000, 0.928], [0.884, 0.500, 0.239], [0.892, 0.000, 0.432]]
}



{
  "formula": "Zr3C4",
  "functional": "SCAN",
  "state": "PBEsol geometry",
  "dft_energy_ev_per_atom": -19.399,
  "spacegroup": "I4/mmm",
  "crystal_system": "tetragonal",
  "lattice": [[3.293, 0.000, 0.000], [0.000, 3.293, 0.000], [0.000, 0.000, 15.977]],
  "species": ["Zr", "Zr", "Zr", "Zr", "Zr", "Zr", "C", "C", "C", "C", "C", "C", "C", "C"],
  "fractional_positions": [[0.000, 0.000, 0.000], [0.000, 0.000, 0.322], [0.000, 0.000, 0.678], [0.500, 0.500, 0.178], [0.500, 0.500, 0.500], [0.500, 0.500, 0.822], [0.000, 0.000, 0.175], [0.000, 0.000, 0.458], [0.000, 0.000, 0.542], [0.000, 0.000, 0.825], [0.500, 0.500, 0.042], [0.500, 0.500, 0.325], [0.500, 0.500, 0.675], [0.500, 0.500, 0.958]]
}



{
  "formula": "Zr2C",
  "functional": "SCAN",
  "state": "PBEsol geometry",
  "dft_energy_ev_per_atom": -24.504,
  "spacegroup": "P4_2/mnm",
  "crystal_system": "tetragonal",
  "lattice": [[5.457, 0.000, 0.000], [0.000, 5.457, 0.000], [0.000, 0.000, 3.367]],
  "species": ["Zr", "Zr", "Zr", "Zr", "C", "C"],
  "fractional_positions": [[0.203, 0.203, 0.000], [0.297, 0.703, 0.500], [0.703, 0.297, 0.500], [0.797, 0.797, 0.000], [0.000, 0.000, 0.500], [0.500, 0.500, 0.000]]
}



{
  "formula": "Zr5C",
  "functional": "SCAN",
  "state": "PBEsol geometry",
  "dft_energy_ev_per_atom": -25.920,
  "spacegroup": "F-43m",
  "crystal_system": "cubic",
  "lattice": [[0.000, 3.949, 3.949], [3.949, 0.000, 3.949], [3.949, 3.949, 0.000]],
  "species": ["Zr", "Zr", "Zr", "Zr", "Zr", "C"],
  "fractional_positions": [[0.000, 0.000, 0.000], [0.373, 0.373, 0.373], [0.373, 0.373, 0.881], [0.373, 0.881, 0.373], [0.881, 0.373, 0.373], [0.750, 0.750, 0.750]]
}



{
  "formula": "Zr3C2",
  "functional": "SCAN",
  "state": "PBEsol geometry",
  "dft_energy_ev_per_atom": -23.299,
  "spacegroup": "P-3m1",
  "crystal_system": "trigonal",
  "lattice": [[3.321, 0.000, 0.000], [-1.660, 2.876, 0.000], [0.000, 0.000, 8.002]],
  "species": ["Zr", "Zr", "Zr", "C", "C"],
  "fractional_positions": [[0.000, 0.000, 0.000], [0.333, 0.667, 0.320], [0.667, 0.333, 0.680], [0.333, 0.667, 0.826], [0.667, 0.333, 0.174]]
}



Computed values of energy of formation (unit: eV per atom) for the preceding records, in sequence: -0.449, 0.154, -0.471, -0.672, 1.345, -0.840.
Computed values of total moment (unit: μB/cell) for the preceding records, in sequence: 0.00, 0.00, 0.00, 0.00, 0.00, 0.00.